Entry from Alexandria via LeMat-Bulk: a relaxed LaAl3O6 crystal (PBE-GGA).

Values from the calculation:
ΔE_f (raw): -3097 meV/atom
Total energy: -7.688 eV per atom

Cell lengths 10.929, 8.975, 6.263 Å; angles 90.00, 119.08, 90.00 degrees
Space group C2/c (No. 15)
Asymmetric unit:
La 0.000 0.188 0.250
Al 0.000 0.191 0.750
Al 0.205 0.440 0.176
O 0.102 0.284 0.023
O 0.110 0.082 0.679
O 0.173 0.430 0.435


Entry from Alexandria via LeMat-Bulk: a relaxed Tl2Si6Pd21 crystal (PBE-GGA).

Values from the calculation:
ΔE_f (raw): -501 meV/atom
Total energy: -5.546 eV per atom

Cell lengths 12.232, 12.232, 12.232 Å; angles 90.00, 90.00, 90.00 degrees
Space group Fm-3m (No. 225)
Asymmetric unit:
Tl 0.250 0.250 0.250
Si 0.000 0.000 0.230
Pd 0.000 0.000 0.500
Pd 0.000 0.170 0.330
Pd 0.118 0.118 0.118


Entry from Alexandria via LeMat-Bulk: a relaxed TeWI2N crystal (PBE-GGA).

Values from the calculation:
ΔE_f (raw): 1798 meV/atom
Offset from the most stable computed form: 120.5 kJ per mole of atoms
Total energy: -3.706 eV per atom

Cell lengths 6.175, 6.175, 3.955 Å; angles 90.00, 90.00, 90.00 degrees
Space group P4/mmm (No. 123)
Asymmetric unit:
Te 0.000 0.000 0.000
W 0.500 0.500 0.500
I 0.000 0.500 0.000
N 0.000 0.000 0.500


Entry from Alexandria via LeMat-Bulk: a relaxed DyHo3Tl4 crystal (PBE-GGA).

Values from the calculation:
Offset from the most stable computed form: 0.0 kJ per mole of atoms
Total energy: -3.808 eV per atom
Energy of formation: -0.33 eV per atom

Cell lengths 3.780, 3.780, 15.117 Å; angles 90.00, 90.00, 90.00 degrees
Space group P4/mmm (No. 123)
Asymmetric unit:
Dy 0.000 0.000 0.000
Ho 0.000 0.000 0.251
Ho 0.000 0.000 0.500
Tl 0.500 0.500 0.126
Tl 0.500 0.500 0.375


Entry from Alexandria via LeMat-Bulk: a relaxed TeOs2I crystal (PBE-GGA).

Values from the calculation:
ΔE_f (raw): 1222 meV/atom
Offset from the most stable computed form: 0.0 kJ per mole of atoms
Total energy: -5.566 eV per atom

Cell lengths 5.919, 5.919, 11.773 Å; angles 90.00, 90.00, 90.00 degrees
Space group I-42d (No. 122)
Asymmetric unit:
Te 0.000 0.000 0.000
Os 0.250 0.250 0.125
I 0.000 0.000 0.500


Entry from Alexandria via LeMat-Bulk: a relaxed BaP2 crystal (PBE-GGA).

Values from the calculation:
Total energy: -4.718 eV per atom
Energy of formation: -0.47 eV per atom

Cell lengths 6.431, 6.431, 8.720 Å; angles 90.00, 90.00, 90.00 degrees
Space group I4/mcm (No. 140)
Asymmetric unit:
Ba 0.000 0.000 0.250
P 0.113 0.387 0.000